Entry from the Alexandria database: crystalline KTe3Br at its relaxed geometry (GGA-PBE).

Cell: 5.7536 5.7536 5.7536 Å, 90.00 90.00 90.00°
Closest atoms and distances in Å follow each position.
Fractional positions:
1 K 0.0000 0.0000 0.0000  12 Te 4.07
2 Te 0.0000 0.5000 0.5000  2 Br 2.88
3 Te 0.5000 0.0000 0.5000  2 Br 2.88
4 Te 0.5000 0.5000 0.0000  2 Br 2.88
5 Br 0.5000 0.5000 0.5000  6 Te 2.88

- DOS(E_F) (states/eV per cell) = 4.107
- formation energy (no corrections) (kJ per mole of atoms) = 12.2
- E above lowest polymorph (meV/atom) = 0
- uncorrected energy (eV per atom) = -2.31